# Sm3Ho3Mg | the Alexandria database | GGA-PBE | relaxed
data_Sm3Ho3Mg
_cell_length_a 6.1883
_cell_length_b 6.1883
_cell_length_c 41.9160
_cell_angle_alpha 90.00
_cell_angle_beta 90.00
_cell_angle_gamma 120.00
_space_group_name_H-M_alt 'R -3'
_space_group_IT_number 148
_space_group_name_Hall '-R 3'
loop_
_atom_site_label
_atom_site_type_symbol
_atom_site_fract_x
_atom_site_fract_y
_atom_site_fract_z
Sm1 Sm 0.0001 0.3343 0.0648
Ho1 Ho 0.0002 0.3328 0.8674
Mg1 Mg 0.0000 0.0000 0.3333
# Density of states at the Fermi level = 57.620 states/eV per cell
# E_form = 0.089 eV/atom
# Total energy = -4.123 eV per atom
# Polymorph energy (0 for the lowest one) = 75 meV per atom

# KYHg3 | the Alexandria database | GGA-PBE | relaxed
data_KYHg3
_cell_length_a 5.906
_cell_length_b 5.906
_cell_length_c 5.906
_cell_angle_alpha 90.00
_cell_angle_beta 90.00
_cell_angle_gamma 90.00
_space_group_name_H-M_alt 'P m -3 m'
_space_group_IT_number 221
_space_group_name_Hall '-P 4 2 3'
loop_
_atom_site_label
_atom_site_type_symbol
_atom_site_fract_x
_atom_site_fract_y
_atom_site_fract_z
K1 K 0.000 0.000 0.000
Y1 Y 0.500 0.500 0.500
Hg1 Hg 0.000 0.500 0.500
# Density of states at the Fermi level = 3.287 states/eV per cell
# E_form = -0.002 eV/atom
# Total energy = -1.696 eV per atom
# Polymorph energy (0 for the lowest one) = 0 meV per atom

# BiSb2TeCl | the Alexandria database | GGA-PBE | relaxed
data_BiSb2TeCl
_cell_length_a 5.333
_cell_length_b 5.333
_cell_length_c 5.513
_cell_angle_alpha 90.00
_cell_angle_beta 90.00
_cell_angle_gamma 90.00
_space_group_name_H-M_alt 'P 4/m m m'
_space_group_IT_number 123
_space_group_name_Hall '-P 4 2'
loop_
_atom_site_label
_atom_site_type_symbol
_atom_site_fract_x
_atom_site_fract_y
_atom_site_fract_z
Bi1 Bi 0.000 0.000 0.000
Sb1 Sb 0.000 0.500 0.500
Te1 Te 0.500 0.500 0.000
Cl1 Cl 0.500 0.500 0.500
# Density of states at the Fermi level = 5.075 states/eV per cell
# Formation energy (no corrections) = 0.64 eV per atom
# Total energy = -2.782 eV per atom
# Polymorph energy (0 for the lowest one) = 0 meV per atom

# Dy2Th2S7 | the Alexandria database | GGA-PBE | relaxed
data_Dy2Th2S7
_cell_length_a 4.675
_cell_length_b 4.675
_cell_length_c 13.131
_cell_angle_alpha 90.00
_cell_angle_beta 90.00
_cell_angle_gamma 90.00
_space_group_name_H-M_alt 'P -4 m 2'
_space_group_IT_number 115
_space_group_name_Hall 'P -4 -2'
loop_
_atom_site_label
_atom_site_type_symbol
_atom_site_fract_x
_atom_site_fract_y
_atom_site_fract_z
Dy1 Dy 0.000 0.500 0.138
Th1 Th 0.000 0.500 0.628
S1 S 0.000 0.000 0.232
S2 S 0.000 0.000 0.500
S3 S 0.500 0.500 0.000
S4 S 0.500 0.500 0.253
S5 S 0.500 0.500 0.500
# Formation energy (no corrections) = -1.92 eV per atom
# Total energy = -6.736 eV per atom

# Tm11Sn10 | the Alexandria database | GGA-PBE | relaxed
data_Tm11Sn10
_cell_length_a 11.505
_cell_length_b 11.505
_cell_length_c 16.837
_cell_angle_alpha 90.00
_cell_angle_beta 90.00
_cell_angle_gamma 90.00
_space_group_name_H-M_alt 'I 4/m m m'
_space_group_IT_number 139
_space_group_name_Hall '-I 4 2'
loop_
_atom_site_label
_atom_site_type_symbol
_atom_site_fract_x
_atom_site_fract_y
_atom_site_fract_z
Tm1 Tm 0.000 0.000 0.166
Tm2 Tm 0.000 0.251 0.312
Tm3 Tm 0.000 0.332 0.102
Tm4 Tm 0.173 0.173 0.500
Sn1 Sn 0.000 0.000 0.387
Sn2 Sn 0.000 0.355 0.500
Sn3 Sn 0.000 0.500 0.250
Sn4 Sn 0.130 0.130 0.000
Sn5 Sn 0.206 0.206 0.176
# Density of states at the Fermi level = 48.539 states/eV per cell
# E_form = -0.687 eV/atom
# Total energy = -4.936 eV per atom

# ThAu6 | the Alexandria database | GGA-PBE | relaxed
data_ThAu6
_cell_length_a 9.019
_cell_length_b 5.721
_cell_length_c 11.145
_cell_angle_alpha 90.00
_cell_angle_beta 90.00
_cell_angle_gamma 90.00
_space_group_name_H-M_alt 'P n m a'
_space_group_IT_number 62
_space_group_name_Hall '-P 2ac 2n'
loop_
_atom_site_label
_atom_site_type_symbol
_atom_site_fract_x
_atom_site_fract_y
_atom_site_fract_z
Th1 Th 0.240 0.250 0.068
Au1 Au 0.057 0.009 0.304
Au2 Au 0.069 0.750 0.079
Au3 Au 0.107 0.250 0.520
Au4 Au 0.155 0.750 0.843
Au5 Au 0.187 0.250 0.779
# Density of states at the Fermi level = 13.099 states/eV per cell
# E_form = -0.343 eV/atom
# Total energy = -4.212 eV per atom
# Polymorph energy (0 for the lowest one) = 0 meV per atom

# Li2TcBr | the Alexandria database | GGA-PBE | relaxed
data_Li2TcBr
_cell_length_a 6.360
_cell_length_b 6.360
_cell_length_c 6.360
_cell_angle_alpha 90.00
_cell_angle_beta 90.00
_cell_angle_gamma 90.00
_space_group_name_H-M_alt 'F -4 3 m'
_space_group_IT_number 216
_space_group_name_Hall 'F -4 2 3'
loop_
_atom_site_label
_atom_site_type_symbol
_atom_site_fract_x
_atom_site_fract_y
_atom_site_fract_z
Li1 Li 0.000 0.000 0.000
Li2 Li 0.250 0.250 0.250
Tc1 Tc 0.250 0.250 0.750
Br1 Br 0.000 0.000 0.500
# Density of states at the Fermi level = 6.567 states/eV per cell
# Formation energy (no corrections) = 0.52 eV per atom
# Total energy = -3.447 eV per atom
# Polymorph energy (0 for the lowest one) = 440 meV per atom

# LaPRu2 | the Alexandria database | GGA-PBE | relaxed
data_LaPRu2
_cell_length_a 3.684
_cell_length_b 5.334
_cell_length_c 7.474
_cell_angle_alpha 90.00
_cell_angle_beta 90.00
_cell_angle_gamma 90.00
_space_group_name_H-M_alt 'I m m m'
_space_group_IT_number 71
_space_group_name_Hall '-I 2 2'
loop_
_atom_site_label
_atom_site_type_symbol
_atom_site_fract_x
_atom_site_fract_y
_atom_site_fract_z
La1 La 0.000 0.000 0.000
P1 P 0.000 0.000 0.500
Ru1 Ru 0.000 0.500 0.193
# Density of states at the Fermi level = 7.944 states/eV per cell
# E_form = -0.179 eV/atom
# Total energy = -7.401 eV per atom

# CaMg2InHg2 | the Alexandria database | GGA-PBE | relaxed
data_CaMg2InHg2
_cell_length_a 5.0067
_cell_length_b 5.0067
_cell_length_c 6.6380
_cell_angle_alpha 90.00
_cell_angle_beta 90.00
_cell_angle_gamma 120.00
_space_group_name_H-M_alt 'P -3 m 1'
_space_group_IT_number 164
_space_group_name_Hall '-P 3 2"'
loop_
_atom_site_label
_atom_site_type_symbol
_atom_site_fract_x
_atom_site_fract_y
_atom_site_fract_z
Ca1 Ca 0.0000 0.0000 0.0000
Mg1 Mg 0.3333 0.6667 0.6877
In1 In 0.0000 0.0000 0.5000
Hg1 Hg 0.3333 0.6667 0.2127
# Density of states at the Fermi level = 2.518 states/eV per cell
# E_form = -0.324 eV/atom
# Total energy = -1.746 eV per atom

# Ce3Te2Os | the Alexandria database | GGA-PBE | relaxed
data_Ce3Te2Os
_cell_length_a 4.359
_cell_length_b 4.359
_cell_length_c 18.486
_cell_angle_alpha 90.00
_cell_angle_beta 90.00
_cell_angle_gamma 90.00
_space_group_name_H-M_alt 'I 4/m m m'
_space_group_IT_number 139
_space_group_name_Hall '-I 4 2'
loop_
_atom_site_label
_atom_site_type_symbol
_atom_site_fract_x
_atom_site_fract_y
_atom_site_fract_z
Ce1 Ce 0.000 0.000 0.000
Ce2 Ce 0.000 0.000 0.359
Te1 Te 0.000 0.000 0.177
Os1 Os 0.000 0.000 0.500
# Density of states at the Fermi level = 35.296 states/eV per cell
# Formation energy (no corrections) = -0.89 eV per atom
# Total energy = -6.771 eV per atom

# TaCuOsPd | the Alexandria database | GGA-PBE | relaxed
data_TaCuOsPd
_cell_length_a 6.223
_cell_length_b 6.223
_cell_length_c 6.223
_cell_angle_alpha 90.00
_cell_angle_beta 90.00
_cell_angle_gamma 90.00
_space_group_name_H-M_alt 'F -4 3 m'
_space_group_IT_number 216
_space_group_name_Hall 'F -4 2 3'
loop_
_atom_site_label
_atom_site_type_symbol
_atom_site_fract_x
_atom_site_fract_y
_atom_site_fract_z
Ta1 Ta 0.000 0.000 0.000
Cu1 Cu 0.000 0.000 0.500
Os1 Os 0.250 0.250 0.750
Pd1 Pd 0.250 0.250 0.250
# Density of states at the Fermi level = 5.934 states/eV per cell
# E_form = -0.109 eV/atom
# Total energy = -8.202 eV per atom

# InBr2Cl | the Alexandria database | GGA-PBE | relaxed
data_InBr2Cl
_cell_length_a 7.076
_cell_length_b 7.592
_cell_length_c 7.801
_cell_angle_alpha 66.24
_cell_angle_beta 64.67
_cell_angle_gamma 65.59
_space_group_name_H-M_alt 'P 1'
_space_group_IT_number 1
_space_group_name_Hall 'P 1'
loop_
_atom_site_label
_atom_site_type_symbol
_atom_site_fract_x
_atom_site_fract_y
_atom_site_fract_z
In1 In 0.000 0.000 0.000
In2 In 0.459 0.852 0.231
Br1 Br 0.052 0.238 0.665
Br2 Br 0.169 0.185 0.131
Br3 Br 0.414 0.613 0.565
Br4 Br 0.814 0.774 0.940
Cl1 Cl 0.274 0.691 0.110
Cl2 Cl 0.657 0.062 0.273
# Density of states at the Fermi level = 0.000 states/eV per cell
# Formation energy (no corrections) = -0.88 eV per atom
# Total energy = -2.859 eV per atom
# Polymorph energy (0 for the lowest one) = 34 meV per atom

# Ag3SeBr2 | the Alexandria database | GGA-PBE | relaxed
data_Ag3SeBr2
_cell_length_a 13.380
_cell_length_b 10.462
_cell_length_c 5.308
_cell_angle_alpha 90.00
_cell_angle_beta 90.00
_cell_angle_gamma 90.00
_space_group_name_H-M_alt 'C m c 21'
_space_group_IT_number 36
_space_group_name_Hall 'C 2c -2'
loop_
_atom_site_label
_atom_site_type_symbol
_atom_site_fract_x
_atom_site_fract_y
_atom_site_fract_z
Ag1 Ag 0.000 0.158 0.000
Ag2 Ag 0.168 0.196 0.614
Se1 Se 0.000 0.091 0.487
Br1 Br 0.144 0.356 0.012
# Density of states at the Fermi level = 5.987 states/eV per cell
# Formation energy (no corrections) = -0.18 eV per atom
# Total energy = -2.739 eV per atom
# Polymorph energy (0 for the lowest one) = 0 meV per atom

# Ba2Nb3RuO12 | the Alexandria database | GGA-PBE | relaxed
data_Ba2Nb3RuO12
_cell_length_a 7.5033
_cell_length_b 7.5033
_cell_length_c 17.9728
_cell_angle_alpha 90.00
_cell_angle_beta 90.00
_cell_angle_gamma 120.00
_space_group_name_H-M_alt 'R -3 m'
_space_group_IT_number 166
_space_group_name_Hall '-R 3 2"'
loop_
_atom_site_label
_atom_site_type_symbol
_atom_site_fract_x
_atom_site_fract_y
_atom_site_fract_z
Ba1 Ba 0.0000 0.0000 0.1742
Nb1 Nb 0.0000 0.5000 0.0000
Ru1 Ru 0.0000 0.0000 0.5000
O1 O 0.0821 0.5411 0.1069
O2 O 0.0877 0.5439 0.3622
# Density of states at the Fermi level = 0.201 states/eV per cell
# Formation energy (no corrections) = -2.31 eV per atom
# Total energy = -8.018 eV per atom

# TmIn8Hg6 | the Alexandria database | GGA-PBE | relaxed
data_TmIn8Hg6
_cell_length_a 8.5886
_cell_length_b 8.5886
_cell_length_c 18.8035
_cell_angle_alpha 90.00
_cell_angle_beta 90.00
_cell_angle_gamma 120.00
_space_group_name_H-M_alt 'R -3 m'
_space_group_IT_number 166
_space_group_name_Hall '-R 3 2"'
loop_
_atom_site_label
_atom_site_type_symbol
_atom_site_fract_x
_atom_site_fract_y
_atom_site_fract_z
Tm1 Tm 0.0000 0.0000 0.0000
In1 In 0.0000 0.0000 0.4155
In2 In 0.0755 0.5378 0.8126
Hg1 Hg 0.0727 0.5363 0.3782
# Density of states at the Fermi level = 19.136 states/eV per cell
# E_form = -0.045 eV/atom
# Total energy = -1.925 eV per atom

# Zr2AsPb | the Alexandria database | GGA-PBE | relaxed
data_Zr2AsPb
_cell_length_a 4.158
_cell_length_b 5.270
_cell_length_c 8.042
_cell_angle_alpha 90.00
_cell_angle_beta 90.00
_cell_angle_gamma 90.00
_space_group_name_H-M_alt 'C m m m'
_space_group_IT_number 65
_space_group_name_Hall '-C 2 2'
loop_
_atom_site_label
_atom_site_type_symbol
_atom_site_fract_x
_atom_site_fract_y
_atom_site_fract_z
Zr1 Zr 0.000 0.000 0.216
As1 As 0.000 0.500 0.000
Pb1 Pb 0.000 0.500 0.500
# Density of states at the Fermi level = 5.349 states/eV per cell
# E_form = -0.510 eV/atom
# Total energy = -6.873 eV per atom
# Polymorph energy (0 for the lowest one) = 129 meV per atom

# Tb6Nd2SmMg | the Alexandria database | GGA-PBE | relaxed
data_Tb6Nd2SmMg
_cell_length_a 9.167
_cell_length_b 14.768
_cell_length_c 9.634
_cell_angle_alpha 90.00
_cell_angle_beta 98.49
_cell_angle_gamma 90.00
_space_group_name_H-M_alt 'C 1 2/c 1'
_space_group_IT_number 15
_space_group_name_Hall '-C 2yc'
loop_
_atom_site_label
_atom_site_type_symbol
_atom_site_fract_x
_atom_site_fract_y
_atom_site_fract_z
Tb1 Tb 0.065 0.187 0.446
Tb2 Tb 0.097 0.396 0.613
Tb3 Tb 0.210 0.219 0.810
Nd1 Nd 0.248 0.451 0.950
Sm1 Sm 0.000 0.016 0.750
Mg1 Mg 0.000 0.404 0.250
# Density of states at the Fermi level = 47.594 states/eV per cell
# E_form = 0.114 eV/atom
# Total energy = -4.249 eV per atom

# Sm8TcSn2 | the Alexandria database | GGA-PBE | relaxed
data_Sm8TcSn2
_cell_length_a 5.630
_cell_length_b 7.039
_cell_length_c 16.115
_cell_angle_alpha 90.00
_cell_angle_beta 90.00
_cell_angle_gamma 90.00
_space_group_name_H-M_alt 'I m m m'
_space_group_IT_number 71
_space_group_name_Hall '-I 2 2'
loop_
_atom_site_label
_atom_site_type_symbol
_atom_site_fract_x
_atom_site_fract_y
_atom_site_fract_z
Sm1 Sm 0.000 0.000 0.194
Sm2 Sm 0.000 0.237 0.374
Sm3 Sm 0.000 0.246 0.000
Tc1 Tc 0.000 0.500 0.500
Sn1 Sn 0.000 0.500 0.186
# Density of states at the Fermi level = 22.926 states/eV per cell
# E_form = -0.293 eV/atom
# Total energy = -5.395 eV per atom

# LiLa2IrI | the Alexandria database | GGA-PBE | relaxed
data_LiLa2IrI
_cell_length_a 5.509
_cell_length_b 5.509
_cell_length_c 5.057
_cell_angle_alpha 90.00
_cell_angle_beta 90.00
_cell_angle_gamma 90.00
_space_group_name_H-M_alt 'P 4/m m m'
_space_group_IT_number 123
_space_group_name_Hall '-P 4 2'
loop_
_atom_site_label
_atom_site_type_symbol
_atom_site_fract_x
_atom_site_fract_y
_atom_site_fract_z
Li1 Li 0.000 0.000 0.000
La1 La 0.000 0.500 0.500
Ir1 Ir 0.000 0.000 0.500
I1 I 0.500 0.500 0.000
# Density of states at the Fermi level = 3.657 states/eV per cell
# Formation energy (no corrections) = -0.59 eV per atom
# Total energy = -5.023 eV per atom

# ErInCoNi | the Alexandria database | GGA-PBE | relaxed
data_ErInCoNi
_cell_length_a 6.447
_cell_length_b 6.447
_cell_length_c 6.447
_cell_angle_alpha 90.00
_cell_angle_beta 90.00
_cell_angle_gamma 90.00
_space_group_name_H-M_alt 'F -4 3 m'
_space_group_IT_number 216
_space_group_name_Hall 'F -4 2 3'
loop_
_atom_site_label
_atom_site_type_symbol
_atom_site_fract_x
_atom_site_fract_y
_atom_site_fract_z
Er1 Er 0.000 0.000 0.000
In1 In 0.000 0.000 0.500
Co1 Co 0.250 0.250 0.750
Ni1 Ni 0.250 0.250 0.250
# Density of states at the Fermi level = 11.081 states/eV per cell
# E_form = -0.250 eV/atom
# Total energy = -5.297 eV per atom

# Ho5N4O | the Alexandria database | GGA-PBE | relaxed
data_Ho5N4O
_cell_length_a 3.437
_cell_length_b 4.853
_cell_length_c 17.193
_cell_angle_alpha 90.00
_cell_angle_beta 90.00
_cell_angle_gamma 90.00
_space_group_name_H-M_alt 'I m m m'
_space_group_IT_number 71
_space_group_name_Hall '-I 2 2'
loop_
_atom_site_label
_atom_site_type_symbol
_atom_site_fract_x
_atom_site_fract_y
_atom_site_fract_z
Ho1 Ho 0.000 0.000 0.000
Ho2 Ho 0.000 0.000 0.200
Ho3 Ho 0.000 0.000 0.396
N1 N 0.000 0.500 0.197
N2 N 0.000 0.500 0.402
O1 O 0.000 0.500 0.000
# Density of states at the Fermi level = 3.350 states/eV per cell
# Formation energy (no corrections) = -2.04 eV per atom
# Total energy = -8.154 eV per atom